# InIrRu2 PBE optimized geometry
# Electronic total energy ... -29.132 eV/f.u.
# Formation enthalpy at 0 K ... 1.02 eV per formula unit
# Volume ... 188 Å³/cell
data_InIrRu2
_space_group_name_H-M_alt 'R 3 m'
_space_group_IT_number 160
_space_group_name_Hall 'R 3 -2"'
_cell_length_a 2.8463
_cell_length_b 2.8463
_cell_length_c 26.7690
_cell_angle_alpha 90.00
_cell_angle_beta 90.00
_cell_angle_gamma 120.00
loop_
_atom_site_label
_atom_site_type_symbol
_atom_site_fract_x
_atom_site_fract_y
_atom_site_fract_z
In1 In 0.0000 0.0000 0.0000
Ir1 Ir 0.0000 0.0000 0.7544
Ru1 Ru 0.0000 0.0000 0.2456
Ru2 Ru 0.0000 0.0000 0.5017

# SrTc4Se PBE optimized geometry
# Electronic total energy ... -43.011 eV/f.u.
# Formation energy (no corrections) ... 0.603 eV per atom
# Volume ... 438 Å³/cell
data_SrTc4Se
_space_group_name_H-M_alt 'F -4 3 m'
_space_group_IT_number 216
_space_group_name_Hall 'F -4 2 3'
_cell_length_a 7.596
_cell_length_b 7.596
_cell_length_c 7.596
_cell_angle_alpha 90.00
_cell_angle_beta 90.00
_cell_angle_gamma 90.00
loop_
_atom_site_label
_atom_site_type_symbol
_atom_site_fract_x
_atom_site_fract_y
_atom_site_fract_z
Sr1 Sr 0.000 0.000 0.000
Tc1 Tc 0.123 0.123 0.623
Se1 Se 0.250 0.250 0.250